[1]
DFT (PBE-GGA) results for an optimized crystal structure of Zr6CoCl15.

Unit cell a=8.9000 b=8.9000 c=8.9000 alpha=109.47 beta=109.47 gamma=109.47
Fractional positions:
Cl: 0.7517 0.2483 0.0000
Cl: 0.5000 0.5000 0.0000
Cl: 0.2483 0.7517 0.0000
Cl: 0.7517 0.0000 0.2483
Cl: 0.0000 0.7517 0.2483
Cl: 0.4965 0.2483 0.2483
Cl: 0.2483 0.4965 0.2483
Cl: 0.2483 0.2483 0.4965
Cl: 0.5000 0.0000 0.5000
Cl: 0.0000 0.5000 0.5000
Cl: 0.7517 0.7517 0.5035
Cl: 0.2483 0.0000 0.7517
Cl: 0.0000 0.2483 0.7517
Cl: 0.7517 0.5035 0.7517
Cl: 0.5035 0.7517 0.7517
Co: 0.0000 0.0000 0.0000
Zr: 0.2402 0.2402 0.0000
Zr: 0.7598 0.7598 0.0000
Zr: 0.2402 0.0000 0.2402
Zr: 0.0000 0.2402 0.2402
Zr: 0.7598 0.0000 0.7598
Zr: 0.0000 0.7598 0.7598

Summary:
Mass density, kg/m³: 3482
Total energy, eV per cell: -122.9

[2]
DFT (PBE-GGA) results for an optimized crystal structure of Cs2CuCl4.

Unit cell a=9.8466 b=7.6395 c=12.4093 alpha=90.00 beta=90.00 gamma=90.00
Fractional positions:
Cl: 0.1535 0.7500 0.0751
Cl: 0.5062 0.2500 0.1251
Cl: 0.7896 0.5185 0.1401
Cl: 0.7896 0.9815 0.1401
Cl: 0.2896 0.5185 0.3599
Cl: 0.2896 0.9815 0.3599
Cl: 0.0062 0.2500 0.3749
Cl: 0.6535 0.7500 0.4249
Cl: 0.3465 0.2500 0.5751
Cl: 0.9938 0.7500 0.6251
Cl: 0.7104 0.0185 0.6401
Cl: 0.7104 0.4815 0.6401
Cl: 0.2104 0.0185 0.8599
Cl: 0.2104 0.4815 0.8599
Cl: 0.4938 0.7500 0.8749
Cl: 0.8465 0.2500 0.9249
Cs: 0.1308 0.2500 0.1034
Cs: 0.4906 0.7500 0.1693
Cs: 0.9906 0.7500 0.3307
Cs: 0.6308 0.2500 0.3966
Cs: 0.3692 0.7500 0.6034
Cs: 0.0094 0.2500 0.6693
Cs: 0.5094 0.2500 0.8307
Cs: 0.8692 0.7500 0.8966
Cu: 0.7313 0.2500 0.0832
Cu: 0.2313 0.2500 0.4168
Cu: 0.7687 0.7500 0.5832
Cu: 0.2687 0.7500 0.9168

Summary:
Mass density, kg/m³: 3353
Total energy, eV per cell: -89.3

[3]
DFT (PBE-GGA) results for an optimized crystal structure of CsCuCl2.

Unit cell a=9.3789 b=9.3789 c=5.8106 alpha=90.00 beta=90.00 gamma=154.42
Fractional positions:
Cl: 0.7464 0.2536 0.2500
Cl: 0.4255 0.5745 0.2500
Cl: 0.5745 0.4255 0.7500
Cl: 0.2536 0.7464 0.7500
Cs: 0.0920 0.9080 0.2500
Cs: 0.9080 0.0920 0.7500
Cu: 0.3015 0.6985 0.2500
Cu: 0.6985 0.3015 0.7500

Summary:
Mass density, kg/m³: 4023
Total energy, eV per cell: -26.0

[4]
DFT (PBE-GGA) results for an optimized crystal structure of Cs3Cu2Cl5.

Unit cell a=9.2794 b=10.5422 c=13.2122 alpha=90.00 beta=90.00 gamma=90.00
Fractional positions:
Cl: 0.5255 0.7500 0.0105
Cl: 0.8168 0.0659 0.0594
Cl: 0.8168 0.4341 0.0594
Cl: 0.1763 0.2500 0.2044
Cl: 0.1957 0.7500 0.2062
Cl: 0.6957 0.7500 0.2938
Cl: 0.6763 0.2500 0.2956
Cl: 0.3168 0.0659 0.4406
Cl: 0.3168 0.4341 0.4406
Cl: 0.0255 0.7500 0.4895
Cl: 0.9745 0.2500 0.5105
Cl: 0.6832 0.5659 0.5594
Cl: 0.6832 0.9341 0.5594
Cl: 0.3237 0.7500 0.7044
Cl: 0.3043 0.2500 0.7062
Cl: 0.8043 0.2500 0.7938
Cl: 0.8237 0.7500 0.7956
Cl: 0.1832 0.5659 0.9406
Cl: 0.1832 0.9341 0.9406
Cl: 0.4745 0.2500 0.9895
Cs: 0.8909 0.7500 0.0489
Cs: 0.4593 0.0125 0.1783
Cs: 0.4593 0.4875 0.1783
Cs: 0.9593 0.0125 0.3217
Cs: 0.9593 0.4875 0.3217
Cs: 0.3909 0.7500 0.4511
Cs: 0.6091 0.2500 0.5489
Cs: 0.0407 0.5125 0.6783
Cs: 0.0407 0.9875 0.6783
Cs: 0.5407 0.5125 0.8217
Cs: 0.5407 0.9875 0.8217
Cs: 0.1091 0.2500 0.9511
Cu: 0.2858 0.7500 0.0482
Cu: 0.7654 0.2500 0.1393
Cu: 0.2654 0.2500 0.3607
Cu: 0.7858 0.7500 0.4518
Cu: 0.2142 0.2500 0.5482
Cu: 0.7346 0.7500 0.6393
Cu: 0.2346 0.7500 0.8607
Cu: 0.7142 0.2500 0.9518

Summary:
Mass density, kg/m³: 3613
ΔE to the lowest computed polymorph, eV/f.u.: 0.00
Total energy, eV per cell: -132.1

[5]
DFT (PBE-GGA) results for an optimized crystal structure of Cs3Cu2Cl5.

Unit cell a=4.3506 b=17.4871 c=15.5692 alpha=90.00 beta=90.00 gamma=90.00
Fractional positions:
Cl: 0.9932 0.4899 0.1204
Cl: 0.0068 0.9899 0.1204
Cl: 0.0243 0.2623 0.1210
Cl: 0.9757 0.7623 0.1210
Cl: 0.5210 0.1309 0.2500
Cl: 0.4790 0.6309 0.2500
Cl: 0.0243 0.2623 0.3790
Cl: 0.9757 0.7623 0.3790
Cl: 0.9932 0.4899 0.3796
Cl: 0.0068 0.9899 0.3796
Cl: 0.9932 0.0101 0.6204
Cl: 0.0068 0.5101 0.6204
Cl: 0.0243 0.2377 0.6210
Cl: 0.9757 0.7377 0.6210
Cl: 0.5210 0.3691 0.7500
Cl: 0.4790 0.8691 0.7500
Cl: 0.0243 0.2377 0.8790
Cl: 0.9757 0.7377 0.8790
Cl: 0.9932 0.0101 0.8796
Cl: 0.0068 0.5101 0.8796
Cs: 0.5173 0.1261 0.0279
Cs: 0.4827 0.6261 0.0279
Cs: 0.5187 0.3725 0.2500
Cs: 0.4813 0.8725 0.2500
Cs: 0.5173 0.1261 0.4721
Cs: 0.4827 0.6261 0.4721
Cs: 0.5173 0.3739 0.5279
Cs: 0.4827 0.8739 0.5279
Cs: 0.5187 0.1275 0.7500
Cs: 0.4813 0.6275 0.7500
Cs: 0.5173 0.3739 0.9721
Cs: 0.4827 0.8739 0.9721
Cu: 0.9463 0.0458 0.2500
Cu: 0.0083 0.1972 0.2500
Cu: 0.0537 0.5458 0.2500
Cu: 0.9917 0.6972 0.2500
Cu: 0.0083 0.3028 0.7500
Cu: 0.9463 0.4542 0.7500
Cu: 0.9917 0.8028 0.7500
Cu: 0.0537 0.9542 0.7500

Summary:
Mass density, kg/m³: 3943
ΔE to the lowest computed polymorph, eV/f.u.: 0.22
Total energy, eV per cell: -131.2

[6]
DFT (PBE-GGA) results for an optimized crystal structure of CsCu2ClF2.

Unit cell a=6.3899 b=4.9269 c=7.7876 alpha=90.00 beta=108.56 gamma=90.00
Fractional positions:
Cl: 0.7257 0.2500 0.4247
Cl: 0.2743 0.7500 0.5753
Cs: 0.8248 0.7500 0.1337
Cs: 0.1752 0.2500 0.8663
Cu: 0.3909 0.0011 0.3436
Cu: 0.3909 0.4989 0.3436
Cu: 0.6092 0.5011 0.6564
Cu: 0.6092 0.9989 0.6564
F: 0.3490 0.7500 0.1192
F: 0.1155 0.2500 0.2247
F: 0.8845 0.7500 0.7753
F: 0.6510 0.2500 0.8808

Summary:
Mass density, kg/m³: 4765
Total energy, eV per cell: -43.8

Q: What is the mass density in the fifth record?
A: 3943 kg/m³